Sr3Al2VO9: relaxed, PBE with a Hubbard U.

Geometry as CIF:
```
data_Sr3Al2VO9
_symmetry_space_group_name_H-M 'P -3 m 1'
_symmetry_Int_Tables_number 164
_symmetry_space_group_name_Hall '-P 3 2"'
_cell_length_a 5.4291
_cell_length_b 5.4291
_cell_length_c 6.6680
_cell_angle_alpha 90.00
_cell_angle_beta 90.00
_cell_angle_gamma 120.00
loop_
_atom_site_label
_atom_site_type_symbol
_atom_site_fract_x
_atom_site_fract_y
_atom_site_fract_z
_atom_site_occupancy
Sr1 Sr 0.0000 0.0000 0.0000 1
Sr2 Sr 0.3333 0.6667 0.6702 1
Al1 Al 0.3333 0.6667 0.1584 1
V1 V 0.0000 0.0000 0.5000 1
O1 O 0.0000 0.5000 0.0000 1
O2 O 0.1660 0.3320 0.3352 1
```

Summary:
M_tot (μB per cell): 0.348

***

SrAlV2O8: relaxed, PBE with a Hubbard U.

Geometry as CIF:
```
data_SrAlV2O8
_symmetry_space_group_name_H-M 'P -3'
_symmetry_Int_Tables_number 147
_cell_length_a 5.4837
_cell_length_b 5.4837
_cell_length_c 6.7618
_cell_angle_alpha 90.00
_cell_angle_beta 90.00
_cell_angle_gamma 120.00
loop_
_symmetry_equiv_pos_as_xyz
'x,y,z'
'-x,-y,-z'
'-y,x-y,z'
'y,-x+y,-z'
'-x+y,-x,z'
'x-y,x,-z'
loop_
_atom_site_label
_atom_site_type_symbol
_atom_site_fract_x
_atom_site_fract_y
_atom_site_fract_z
_atom_site_occupancy
Sr1 Sr 0.0000 0.0000 0.0000 1
Al1 Al 0.0000 0.0000 0.5000 1
V1 V 0.3333 0.6667 0.7474 1
O1 O 0.1557 0.3140 0.6711 1
O2 O 0.3333 0.6667 0.9969 1
```

Summary:
M_tot (μB per cell): 0.924

***

VASP energy across the listed records, respectively: -6.9690; -7.2098 eV per atom.